A geometry-optimized ZnH20Se2N2O14 structure, computed with GGA-PBE.

Values from the calculation:
As for the space group: P2_1/c, No. 14. The calculation puts the energy at -5.030 eV/atom. As for the spin magnetization: 0.00 μB/f.u.

The structure in CIF format:
```
data_ZnH20Se2N2O14
_cell_length_a 6.544
_cell_length_b 9.349
_cell_length_c 12.662
_cell_angle_alpha 90.00
_cell_angle_beta 90.00
_cell_angle_gamma 106.21
_space_group_name_H-M_alt 'P 1'
_space_group_IT_number 1
_space_group_name_Hall 'P 1'
loop_
_atom_site_label
_atom_site_fract_x
_atom_site_fract_y
_atom_site_fract_z
N1 0.355 0.637 0.837
N2 0.356 0.137 0.663
N3 0.644 0.863 0.337
N4 0.645 0.363 0.163
O1 0.971 0.659 0.387
O2 0.033 0.110 0.321
O3 0.827 0.826 0.107
O4 0.033 0.610 0.179
O5 0.422 0.073 0.266
O6 0.578 0.427 0.766
O7 0.789 0.572 0.939
O8 0.713 0.510 0.566
O9 0.287 0.490 0.434
O10 0.390 0.227 0.445
O11 0.422 0.573 0.234
O12 0.967 0.390 0.821
O13 0.287 0.990 0.066
O14 0.211 0.428 0.061
O15 0.029 0.341 0.613
O16 0.030 0.841 0.887
O17 0.789 0.072 0.561
O18 0.827 0.326 0.393
O19 0.970 0.159 0.113
O20 0.173 0.674 0.607
O21 0.967 0.890 0.679
O22 0.578 0.927 0.734
O23 0.390 0.727 0.055
O24 0.610 0.773 0.555
O25 0.610 0.273 0.945
O26 0.713 0.010 0.934
O27 0.211 0.928 0.439
O28 0.173 0.174 0.893
H1 0.002 0.636 0.313
H2 0.608 0.767 0.291
H3 0.622 0.334 0.084
H4 0.002 0.136 0.187
H5 0.064 0.261 0.097
H6 0.322 0.393 0.443
H7 0.678 0.607 0.557
H8 0.109 0.756 0.619
H9 0.678 0.282 0.416
H10 0.998 0.864 0.813
H11 0.319 0.019 0.142
H12 0.392 0.233 0.709
H13 0.452 0.571 0.814
H14 0.322 0.893 0.057
H15 0.392 0.733 0.791
H16 0.548 0.929 0.314
H17 0.322 0.718 0.584
H18 0.322 0.218 0.916
H19 0.319 0.519 0.358
H20 0.622 0.834 0.416
H21 0.378 0.666 0.916
H22 0.678 0.107 0.943
H23 0.998 0.364 0.687
H24 0.800 0.426 0.175
H25 0.936 0.739 0.903
H26 0.452 0.071 0.686
H27 0.548 0.429 0.186
H28 0.200 0.074 0.675
H29 0.608 0.267 0.209
H30 0.109 0.256 0.881
H31 0.378 0.166 0.584
H32 0.800 0.926 0.325
H33 0.064 0.761 0.403
H34 0.936 0.239 0.597
H35 0.681 0.981 0.858
H36 0.891 0.744 0.119
H37 0.681 0.481 0.642
H38 0.678 0.782 0.084
H39 0.200 0.574 0.825
H40 0.891 0.244 0.381
Se1 0.740 0.918 0.632
Se2 0.260 0.082 0.368
Se3 0.260 0.582 0.132
Se4 0.740 0.418 0.868
Zn1 0.000 0.000 0.000
Zn2 0.000 0.500 0.500
```